A.
Density functional theory data (GGA-PBEsol) for CoWS2 after structural relaxation.

Values from the calculation:
- M_tot: 0.000 μB per atom
- Space group: I-42d, No. 122

Structure (POSCAR):
```
CoWS2
1.0
-3.7859 1.3067 -3.2746
-3.5180 -1.7174 3.3820
3.4324 4.6395 1.9696
S Co W
4 2 2
Direct
0.4019 0.8750 0.2500 S
0.8481 0.3750 0.2500 S
0.1250 0.1519 0.7500 S
0.6250 0.5981 0.7500 S
0.7500 0.2500 0.5000 Co
0.5000 0.5000 0.0000 Co
0.2500 0.7500 0.5000 W
0.0000 0.0000 0.0000 W
```

B.
Density functional theory data (GGA-PBEsol) for CoWS2 after structural relaxation.

Values from the calculation:
- M_tot: 0.311 μB per atom
- Space group: R-3m, No. 166

Structure (POSCAR):
```
CoWS2
1.0
-0.3677 0.1880 3.0099
-0.0841 -2.5292 1.6810
7.2911 -0.4378 2.4512
S Co W
2 1 1
Direct
0.9068 0.9068 0.2796 S
0.0932 0.0932 0.7204 S
0.0000 0.0000 0.0000 Co
0.5000 0.5000 0.5000 W
```

The most stable of them is B.